! AcCoAg2F8, optimized geometry, DFT PBE with a Hubbard U; values from VASP
! - DFT total energy (eV/atom) = -4.8274
! - space group = P2/m (10)
&SYSTEM
  ibrav = 0, nat = 12, ntyp = 4
/
ATOMIC_SPECIES
Ac 227.00 Ac.upf
Co 58.93 Co.upf
Ag 107.87 Ag.upf
F 19.00 F.upf
CELL_PARAMETERS angstrom
4.461 0.000 0.000
0.000 7.415 0.000
-0.127 0.000 5.708
ATOMIC_POSITIONS angstrom
Ac 0.000 0.000 0.000
Co 0.000 3.708 0.000
Ag 2.167 2.088 2.854
Ag 2.167 5.327 2.854
F 0.468 2.148 4.544
F 0.468 5.267 4.544
F 1.471 3.708 1.103
F 2.047 0.000 1.364
F 2.287 0.000 4.344
F 2.863 3.708 4.605
F 3.866 2.148 1.164
F 3.866 5.267 1.164